The following is a PBE-GGA calculation of Sc6AlSn after structural relaxation, from Alexandria via LeMat-Bulk.

abc: 5.1044 5.1044 8.4478
angles: 75.68 75.68 74.71
Last column: nearest neighbours and their distance in Å.
Element x y z (fractional)
Sn 0.5000 0.5000 0.5000  8 Sc 3.05
Sc 0.4337 0.9314 0.7079  1 Al 2.90, 2 Sn 3.05, 5 Sc 3.08-3.25
Sc 0.9314 0.4337 0.7079  1 Al 2.90, 2 Sn 3.05, 5 Sc 3.08-3.25
Sc 0.0686 0.5663 0.2921  1 Al 2.90, 2 Sn 3.05, 5 Sc 3.08-3.25
Sc 0.6473 0.6473 0.0550  1 Al 2.75, 1 Sc 2.82
Sc 0.3527 0.3527 0.9450  1 Al 2.75, 1 Sc 2.82
Sc 0.5663 0.0686 0.2921  1 Al 2.90, 2 Sn 3.05, 5 Sc 3.08-3.25
Al 0.0000 0.0000 0.0000  6 Sc 2.75-2.90

- total moment (μB per cell) = 0.00
- crystal system = monoclinic
- mass density (kg/m³) = 3419
- energy of formation from the pure elements (eV per formula unit) = -0.4
- offset from the most stable computed form (eV/atom) = 0.284
- energy (eV for the cell shown) = -46.17
- density of states at the Fermi level (states/eV/atom) = 1.42